one.
Here is crystalline PrBePd2 at its relaxed geometry from Alexandria via LeMat-Bulk. Energies are from PBE.

a = 4.146 Å, b = 4.146 Å, c = 15.267 Å
α = 90.00°, β = 90.00°, γ = 120.00°
Fractional coordinates of all 12 atoms:
Pr  0.000  0.000  0.000
Pr  0.333  0.667  0.667
Pr  0.667  0.333  0.333
Be  0.000  0.000  0.500
Be  0.333  0.667  0.167
Be  0.667  0.333  0.833
Pd  0.000  0.000  0.209
Pd  0.000  0.000  0.791
Pd  0.333  0.667  0.458
Pd  0.333  0.667  0.876
Pd  0.667  0.333  0.124
Pd  0.667  0.333  0.542

***

two.
Here is crystalline PrBePd2 at its relaxed geometry from Alexandria via LeMat-Bulk. Energies are from PBE.

a = 4.194 Å, b = 17.461 Å, c = 4.023 Å
α = 90.00°, β = 90.00°, γ = 90.00°
Fractional coordinates of all 16 atoms:
Pr  0.000  0.145  0.000
Pr  0.000  0.855  0.000
Pr  0.500  0.355  0.000
Pr  0.500  0.645  0.000
Be  0.000  0.432  0.500
Be  0.000  0.568  0.500
Be  0.500  0.068  0.500
Be  0.500  0.932  0.500
Pd  0.000  0.000  0.500
Pd  0.000  0.301  0.500
Pd  0.000  0.500  0.000
Pd  0.000  0.699  0.500
Pd  0.500  0.000  0.000
Pd  0.500  0.199  0.500
Pd  0.500  0.500  0.500
Pd  0.500  0.801  0.500

***

two is the most stable structure; the next one sits 7.5 kJ/mol of atoms above it.

***

one.
Here is crystalline Be2PdPt at its relaxed geometry from Alexandria via LeMat-Bulk. Energies are from PBE.

a = 3.387 Å, b = 3.387 Å, c = 15.368 Å
α = 90.00°, β = 90.00°, γ = 120.00°
Fractional coordinates of all 12 atoms:
Be  0.000  0.000  0.000
Be  0.000  0.000  0.167
Be  0.333  0.667  0.667
Be  0.333  0.667  0.834
Be  0.667  0.333  0.333
Be  0.667  0.333  0.501
Pd  0.000  0.000  0.757
Pd  0.333  0.667  0.423
Pd  0.667  0.333  0.090
Pt  0.000  0.000  0.577
Pt  0.333  0.667  0.244
Pt  0.667  0.333  0.910

***

two.
Here is crystalline Be2PdPt at its relaxed geometry from Alexandria via LeMat-Bulk. Energies are from PBE.

a = 5.676 Å, b = 5.676 Å, c = 5.676 Å
α = 90.00°, β = 90.00°, γ = 90.00°
Fractional coordinates of all 16 atoms:
Be  0.250  0.250  0.250
Be  0.250  0.250  0.750
Be  0.250  0.750  0.250
Be  0.250  0.750  0.750
Be  0.750  0.250  0.250
Be  0.750  0.250  0.750
Be  0.750  0.750  0.250
Be  0.750  0.750  0.750
Pd  0.000  0.000  0.000
Pd  0.000  0.500  0.500
Pd  0.500  0.000  0.500
Pd  0.500  0.500  0.000
Pt  0.000  0.000  0.500
Pt  0.000  0.500  0.000
Pt  0.500  0.000  0.000
Pt  0.500  0.500  0.500

***

three.
Here is crystalline Be2PdPt at its relaxed geometry from Alexandria via LeMat-Bulk. Energies are from PBE.

a = 3.905 Å, b = 3.905 Å, c = 14.411 Å
α = 90.00°, β = 90.00°, γ = 90.00°
Fractional coordinates of all 16 atoms:
Be  0.235  0.250  0.125
Be  0.250  0.735  0.375
Be  0.250  0.765  0.875
Be  0.265  0.250  0.625
Be  0.735  0.750  0.625
Be  0.750  0.235  0.875
Be  0.750  0.265  0.375
Be  0.765  0.750  0.125
Pd  0.000  0.000  0.500
Pd  0.000  0.500  0.750
Pd  0.500  0.000  0.250
Pd  0.500  0.500  0.000
Pt  0.000  0.000  0.000
Pt  0.000  0.500  0.250
Pt  0.500  0.000  0.750
Pt  0.500  0.500  0.500

***

two is the most stable structure; the next one sits 31.0 kJ/mol of atoms above it.

***

one.
Here is crystalline PuBePd at its relaxed geometry from Alexandria via LeMat-Bulk. Energies are from PBE.

a = 4.024 Å, b = 4.024 Å, c = 4.027 Å
α = 90.00°, β = 90.00°, γ = 120.00°
Fractional coordinates of all 3 atoms:
Pu  0.000  0.000  0.000
Be  0.667  0.333  0.500
Pd  0.333  0.667  0.500

***

two.
Here is crystalline PuBePd at its relaxed geometry from Alexandria via LeMat-Bulk. Energies are from PBE.

a = 3.026 Å, b = 3.026 Å, c = 10.857 Å
α = 90.00°, β = 90.00°, γ = 90.00°
Fractional coordinates of all 6 atoms:
Pu  0.000  0.000  0.000
Pu  0.500  0.500  0.500
Be  0.000  0.000  0.697
Be  0.500  0.500  0.197
Pd  0.000  0.000  0.288
Pd  0.500  0.500  0.788

***

three.
Here is crystalline PuBePd at its relaxed geometry from Alexandria via LeMat-Bulk. Energies are from PBE.

a = 3.293 Å, b = 3.293 Å, c = 16.522 Å
α = 90.00°, β = 90.00°, γ = 90.00°
Fractional coordinates of all 12 atoms:
Pu  0.000  0.000  0.222
Pu  0.000  0.000  0.778
Pu  0.500  0.500  0.278
Pu  0.500  0.500  0.722
Be  0.000  0.500  0.000
Be  0.000  0.500  0.500
Be  0.500  0.000  0.000
Be  0.500  0.000  0.500
Pd  0.000  0.000  0.406
Pd  0.000  0.000  0.594
Pd  0.500  0.500  0.094
Pd  0.500  0.500  0.906

***

two is the most stable structure; the next one sits 3.2 kJ/mol of atoms above it.

***

one.
Here is crystalline Pu2BePd6 at its relaxed geometry from Alexandria via LeMat-Bulk. Energies are from PBE.

a = 6.030 Å, b = 6.030 Å, c = 6.030 Å
α = 60.04°, β = 60.04°, γ = 60.04°
Fractional coordinates of all 9 atoms:
Pu  0.250  0.250  0.250
Pu  0.750  0.750  0.750
Be  0.000  0.000  0.000
Pd  0.262  0.262  0.738
Pd  0.262  0.738  0.262
Pd  0.262  0.738  0.738
Pd  0.738  0.262  0.262
Pd  0.738  0.262  0.738
Pd  0.738  0.738  0.262

***

two.
Here is crystalline Pu2BePd6 at its relaxed geometry from Alexandria via LeMat-Bulk. Energies are from PBE.

a = 5.786 Å, b = 5.786 Å, c = 5.384 Å
α = 90.00°, β = 90.00°, γ = 120.00°
Fractional coordinates of all 9 atoms:
Pu  0.333  0.667  0.302
Pu  0.667  0.333  0.698
Be  0.000  0.000  0.500
Pd  0.169  0.338  0.787
Pd  0.169  0.831  0.787
Pd  0.338  0.169  0.213
Pd  0.662  0.831  0.787
Pd  0.831  0.169  0.213
Pd  0.831  0.662  0.213

***

one is the most stable structure; the next one sits 3.8 kJ/mol of atoms above it.

***

one.
Here is crystalline RbBePd at its relaxed geometry from Alexandria via LeMat-Bulk. Energies are from PBE.

a = 4.043 Å, b = 4.473 Å, c = 10.389 Å
α = 89.58°, β = 89.86°, γ = 89.99°
Fractional coordinates of all 6 atoms:
Rb  0.000  0.000  0.000
Rb  0.496  0.503  0.562
Be  0.496  0.893  0.285
Be  0.995  0.609  0.277
Pd  0.496  0.416  0.221
Pd  0.995  0.086  0.341

***

two.
Here is crystalline RbBePd at its relaxed geometry from Alexandria via LeMat-Bulk. Energies are from PBE.

a = 6.925 Å, b = 5.583 Å, c = 10.340 Å
α = 90.00°, β = 92.51°, γ = 90.00°
Fractional coordinates of all 12 atoms:
Rb  0.220  0.000  0.283
Rb  0.280  0.500  0.717
Rb  0.720  0.500  0.283
Rb  0.780  0.000  0.717
Be  0.000  0.304  0.000
Be  0.000  0.696  0.000
Be  0.500  0.196  0.000
Be  0.500  0.804  0.000
Pd  0.211  0.000  0.974
Pd  0.289  0.500  0.026
Pd  0.711  0.500  0.974
Pd  0.789  0.000  0.026

***

three.
Here is crystalline RbBePd at its relaxed geometry from Alexandria via LeMat-Bulk. Energies are from PBE.

a = 5.596 Å, b = 6.873 Å, c = 10.316 Å
α = 90.00°, β = 91.41°, γ = 90.00°
Fractional coordinates of all 12 atoms:
Rb  0.241  0.000  0.280
Rb  0.259  0.500  0.720
Rb  0.741  0.500  0.280
Rb  0.759  0.000  0.720
Be  0.197  0.500  0.034
Be  0.303  0.000  0.966
Be  0.697  0.000  0.034
Be  0.803  0.500  0.966
Pd  0.000  0.216  0.000
Pd  0.000  0.784  0.000
Pd  0.500  0.284  0.000
Pd  0.500  0.716  0.000

***

three is the most stable structure; the next one sits 1.3 kJ/mol of atoms above it.

***

one.
Here is crystalline Rb2Be2Pd at its relaxed geometry from Alexandria via LeMat-Bulk. Energies are from PBE.

a = 5.024 Å, b = 5.024 Å, c = 12.529 Å
α = 90.00°, β = 90.00°, γ = 90.00°
Fractional coordinates of all 10 atoms:
Rb  0.000  0.500  0.250
Rb  0.000  0.500  0.750
Rb  0.500  0.000  0.250
Rb  0.500  0.000  0.750
Be  0.000  0.000  0.081
Be  0.000  0.000  0.919
Be  0.500  0.500  0.419
Be  0.500  0.500  0.581
Pd  0.000  0.000  0.500
Pd  0.500  0.500  0.000

***

two.
Here is crystalline Rb2Be2Pd at its relaxed geometry from Alexandria via LeMat-Bulk. Energies are from PBE.

a = 6.590 Å, b = 6.590 Å, c = 6.020 Å
α = 90.00°, β = 90.00°, γ = 90.00°
Fractional coordinates of all 10 atoms:
Rb  0.176  0.324  0.000
Rb  0.324  0.824  0.000
Rb  0.676  0.176  0.000
Rb  0.824  0.676  0.000
Be  0.229  0.729  0.500
Be  0.271  0.229  0.500
Be  0.729  0.771  0.500
Be  0.771  0.271  0.500
Pd  0.000  0.000  0.500
Pd  0.500  0.500  0.500

***

two is the most stable structure; the next one sits 68.5 kJ/mol of atoms above it.

***

one.
Here is crystalline RbBe2Pd at its relaxed geometry from Alexandria via LeMat-Bulk. Energies are from PBE.

a = 5.124 Å, b = 5.124 Å, c = 14.522 Å
α = 90.00°, β = 90.00°, γ = 90.00°
Fractional coordinates of all 16 atoms:
Rb  0.000  0.250  0.375
Rb  0.000  0.750  0.625
Rb  0.500  0.250  0.125
Rb  0.500  0.750  0.875
Be  0.000  0.000  0.000
Be  0.000  0.500  0.000
Be  0.250  0.250  0.750
Be  0.250  0.750  0.250
Be  0.500  0.000  0.500
Be  0.500  0.500  0.500
Be  0.750  0.250  0.750
Be  0.750  0.750  0.250
Pd  0.000  0.250  0.875
Pd  0.000  0.750  0.125
Pd  0.500  0.250  0.625
Pd  0.500  0.750  0.375

***

two.
Here is crystalline RbBe2Pd at its relaxed geometry from Alexandria via LeMat-Bulk. Energies are from PBE.

a = 6.713 Å, b = 6.713 Å, c = 6.713 Å
α = 90.00°, β = 90.00°, γ = 90.00°
Fractional coordinates of all 16 atoms:
Rb  0.000  0.000  0.000
Rb  0.000  0.500  0.500
Rb  0.500  0.000  0.500
Rb  0.500  0.500  0.000
Be  0.250  0.250  0.250
Be  0.250  0.250  0.750
Be  0.250  0.750  0.250
Be  0.250  0.750  0.750
Be  0.750  0.250  0.250
Be  0.750  0.250  0.750
Be  0.750  0.750  0.250
Be  0.750  0.750  0.750
Pd  0.000  0.000  0.500
Pd  0.000  0.500  0.000
Pd  0.500  0.000  0.000
Pd  0.500  0.500  0.500

***

one is the most stable structure; the next one sits 71.0 kJ/mol of atoms above it.

***

one.
Here is crystalline Be2Re2Pd at its relaxed geometry from Alexandria via LeMat-Bulk. Energies are from PBE.

a = 7.128 Å, b = 7.128 Å, c = 2.599 Å
α = 90.00°, β = 90.00°, γ = 90.00°
Fractional coordinates of all 10 atoms:
Be  0.174  0.326  0.000
Be  0.326  0.826  0.000
Be  0.674  0.174  0.000
Be  0.826  0.674  0.000
Re  0.122  0.622  0.500
Re  0.378  0.122  0.500
Re  0.622  0.878  0.500
Re  0.878  0.378  0.500
Pd  0.000  0.000  0.500
Pd  0.500  0.500  0.500

***

two.
Here is crystalline Be2Re2Pd at its relaxed geometry from Alexandria via LeMat-Bulk. Energies are from PBE.

a = 5.961 Å, b = 5.961 Å, c = 3.326 Å
α = 90.00°, β = 90.00°, γ = 90.00°
Fractional coordinates of all 10 atoms:
Be  0.122  0.378  0.000
Be  0.378  0.878  0.000
Be  0.622  0.122  0.000
Be  0.878  0.622  0.000
Re  0.172  0.672  0.500
Re  0.328  0.172  0.500
Re  0.672  0.828  0.500
Re  0.828  0.328  0.500
Pd  0.000  0.000  0.000
Pd  0.500  0.500  0.000

***

three.
Here is crystalline Be2Re2Pd at its relaxed geometry from Alexandria via LeMat-Bulk. Energies are from PBE.

a = 4.110 Å, b = 4.110 Å, c = 8.077 Å
α = 90.00°, β = 90.00°, γ = 90.00°
Fractional coordinates of all 10 atoms:
Be  0.000  0.500  0.250
Be  0.000  0.500  0.750
Be  0.500  0.000  0.250
Be  0.500  0.000  0.750
Re  0.000  0.000  0.151
Re  0.000  0.000  0.849
Re  0.500  0.500  0.349
Re  0.500  0.500  0.651
Pd  0.000  0.000  0.500
Pd  0.500  0.500  0.000

***

two is the most stable structure; the next one sits 32.5 kJ/mol of atoms above it.